Record 1
CaYPd4: relaxed, PBE-GGA.

Geometry as CIF:
```
data_CaYPd4
_chemical_formula_sum 'Ca1 Y1 Pd4'
_cell_length_a 3.8830
_cell_length_b 3.8830
_cell_length_c 8.8501
_cell_angle_alpha 90.00
_cell_angle_beta 90.00
_cell_angle_gamma 90.00
_space_group_name_H-M_alt 'P 4/m m m'
_space_group_IT_number 123
_space_group_name_Hall '-P 4 2'
loop_
_atom_site_label
_atom_site_fract_x
_atom_site_fract_y
_atom_site_fract_z
Ca1 0.0000 0.0000 0.0000
Y1 0.5000 0.5000 0.5000
Pd1 0.0000 0.5000 0.2597
```

calculated volume: 22.24 A^3/atom
energy of formation from the pure elements: -0.502 eV/atom
polymorph energy (0 for the lowest one): 236 meV per atom

***

Record 2
CaY2Pd2: relaxed, PBE-GGA.

Geometry as CIF:
```
data_CaY2Pd2
_chemical_formula_sum 'Ca2 Y4 Pd4'
_cell_length_a 8.5057
_cell_length_b 8.5057
_cell_length_c 3.3210
_cell_angle_alpha 90.00
_cell_angle_beta 90.00
_cell_angle_gamma 90.00
_space_group_name_H-M_alt 'P 4/m b m'
_space_group_IT_number 127
_space_group_name_Hall '-P 4 2ab'
loop_
_atom_site_label
_atom_site_fract_x
_atom_site_fract_y
_atom_site_fract_z
Ca1 0.0000 0.0000 0.0000
Y1 0.1394 0.3606 0.0000
Pd1 0.1564 0.6564 0.5000
```

calculated volume: 24.03 A^3/atom
energy of formation from the pure elements: -0.543 eV/atom
polymorph energy (0 for the lowest one): 154 meV per atom

***

Record 3
CaY2Pd: relaxed, PBE-GGA.

Geometry as CIF:
```
data_CaY2Pd
_chemical_formula_sum 'Ca4 Y8 Pd4'
_cell_length_a 8.6790
_cell_length_b 8.6790
_cell_length_c 6.4792
_cell_angle_alpha 90.00
_cell_angle_beta 90.00
_cell_angle_gamma 90.00
_space_group_name_H-M_alt 'I -4 2 d'
_space_group_IT_number 122
_space_group_name_Hall 'I -4 2bw'
loop_
_atom_site_label
_atom_site_fract_x
_atom_site_fract_y
_atom_site_fract_z
Ca1 0.0000 0.0000 0.0000
Y1 0.1761 0.2500 0.6250
Pd1 0.0000 0.0000 0.5000
```

calculated volume: 30.50 A^3/atom
energy of formation from the pure elements: -0.193 eV/atom
polymorph energy (0 for the lowest one): 212 meV per atom